Record 1
# RuPbSe PBE optimized geometry
data_RuPbSe
_space_group_name_H-M_alt 'P 3 m 1'
_space_group_IT_number 156
_cell_length_a 4.1511
_cell_length_b 4.1511
_cell_length_c 4.6432
_cell_angle_alpha 90.00
_cell_angle_beta 90.00
_cell_angle_gamma 120.00
loop_
_space_group_symop_operation_xyz
'x,y,z'
'-y,x-y,z'
'-x+y,-x,z'
'-y,-x,z'
'-x+y,y,z'
'x,x-y,z'
loop_
_atom_site_label
_atom_site_fract_x
_atom_site_fract_y
_atom_site_fract_z
Ru1 0.0000 0.0000 0.0000
Pb1 0.3333 0.6667 0.4956
Se1 0.6667 0.3333 0.9965
# **Formation energy from raw total energies**: 0.190 eV/atom
# **DOS at the Fermi energy**: 1.185 states/eV per atom
# **ΔE to the lowest computed polymorph**: 0.236 eV per atom
# **Raw total energy**: -5.30 eV/atom
# **Spin magnetization**: 0.0 μB per cell


Record 2
# Cs3Rb8S PBE optimized geometry
data_Cs3Rb8S
_space_group_name_H-M_alt 'P 63 m c'
_space_group_IT_number 186
_space_group_name_Hall 'P 6c -2c'
_cell_length_a 15.1778
_cell_length_b 15.1778
_cell_length_c 10.2549
_cell_angle_alpha 90.00
_cell_angle_beta 90.00
_cell_angle_gamma 120.00
loop_
_atom_site_label
_atom_site_fract_x
_atom_site_fract_y
_atom_site_fract_z
Cs1 0.1505 0.3009 0.0000
Rb1 0.0000 0.0000 0.2494
Rb2 0.0759 0.5380 0.2765
Rb3 0.2345 0.4690 0.5587
Rb4 0.3333 0.6667 0.0203
S1 0.3333 0.6667 0.3498
# **Formation energy from raw total energies**: -0.191 eV/atom
# **DOS at the Fermi energy**: 0.817 states/eV per atom
# **Raw total energy**: -1.39 eV/atom
# **Spin magnetization**: 0.0 μB per cell


Record 3
# Ca2ReSb PBE optimized geometry
data_Ca2ReSb
_space_group_name_H-M_alt 'C m m m'
_space_group_IT_number 65
_space_group_name_Hall '-C 2 2'
_cell_length_a 6.455
_cell_length_b 9.336
_cell_length_c 3.031
_cell_angle_alpha 90.00
_cell_angle_beta 90.00
_cell_angle_gamma 90.00
loop_
_atom_site_label
_atom_site_fract_x
_atom_site_fract_y
_atom_site_fract_z
Ca1 0.250 0.250 0.000
Re1 0.000 0.000 0.500
Sb1 0.000 0.500 0.500
# **Formation energy from raw total energies**: 0.263 eV/atom
# **DOS at the Fermi energy**: 0.580 states/eV per atom
# **Raw total energy**: -4.88 eV/atom
# **Spin magnetization**: 0.0 μB per cell


Record 4
# Na2Sr5Rh2 PBE optimized geometry
data_Na2Sr5Rh2
_space_group_name_H-M_alt 'C m c e'
_space_group_IT_number 64
_space_group_name_Hall '-C 2ac 2'
_cell_length_a 20.209
_cell_length_b 8.229
_cell_length_c 8.215
_cell_angle_alpha 90.00
_cell_angle_beta 90.00
_cell_angle_gamma 90.00
loop_
_atom_site_label
_atom_site_fract_x
_atom_site_fract_y
_atom_site_fract_z
Na1 0.230 0.000 0.000
Sr1 0.000 0.000 0.000
Sr2 0.100 0.170 0.330
Rh1 0.000 0.120 0.620
# **DOS at the Fermi energy**: 0.784 states/eV per atom
# **Calculated formation energy**: -0.1424 eV per atom
# **Raw total energy**: -3.00 eV/atom
# **Spin magnetization**: 0.0 μB per cell